Record 1
{"formula": "BOsO4", "functional": "PBE-GGA", "state": "relaxed", "lattice_angstrom": [[4.512, 0.000, 0.000], [0.000, 4.512, 0.000], [0.000, 0.000, 6.775]], "species": ["B", "B", "Os", "Os", "O", "O", "O", "O", "O", "O", "O", "O"], "fractional_positions": [[0.000, 0.000, 0.000], [0.500, 0.500, 0.500], [0.000, 0.500, 0.250], [0.500, 0.000, 0.750], [0.192, 0.801, 0.114], [0.199, 0.192, 0.886], [0.301, 0.308, 0.386], [0.308, 0.699, 0.614], [0.692, 0.301, 0.614], [0.699, 0.692, 0.386], [0.801, 0.808, 0.886], [0.808, 0.199, 0.114]], "energy_ev_per_atom": -7.406, "vol_a3_per_cell": 138}

***

Record 2
{"formula": "RbTl3Bi2Au2", "functional": "PBE-GGA", "state": "relaxed", "lattice_angstrom": [[6.327, 0.000, 0.000], [0.000, 6.567, 0.000], [-2.614, 0.000, 6.291]], "species": ["Rb", "Tl", "Tl", "Tl", "Bi", "Bi", "Au", "Au"], "fractional_positions": [[0.000, 0.000, 0.000], [0.029, 0.500, 0.761], [0.410, 0.500, 0.451], [0.652, 0.000, 0.348], [0.241, 0.000, 0.579], [0.817, 0.500, 0.228], [0.485, 0.262, 0.914], [0.485, 0.738, 0.914]], "energy_ev_per_atom": -2.961, "vol_a3_per_cell": 261}